Run w
Computed, not measured: a relaxed LiSm2Te crystal at the PBE level of DFT.

Lattice parameters (Å, degrees): 4.234 4.232 7.769 74.20 74.19 59.99
Sites, in units of the cell vectors:
Sm: 0.905 0.668 0.522
Sm: 0.697 0.460 0.145
Li: 0.476 0.239 0.808
Te: 0.132 0.895 0.841

Run x
Computed, not measured: a relaxed LiSm2Te crystal at the PBE level of DFT.

Lattice parameters (Å, degrees): 4.018 4.018 6.738 90.00 90.00 90.00
Sites, in units of the cell vectors:
Li: 0.500 0.500 0.000
Sm: 0.000 0.000 0.247
Sm: 0.000 0.000 0.753
Te: 0.500 0.500 0.500

Run y
Computed, not measured: a relaxed LiSm2Te crystal at the PBE level of DFT.

Lattice parameters (Å, degrees): 3.975 3.975 11.016 79.61 79.61 60.00
Sites, in units of the cell vectors:
Li: 0.000 0.000 0.000
Sm: 0.895 0.895 0.314
Sm: 0.105 0.105 0.686
Te: 0.500 0.500 0.500

Least stable = run y

Run w
Computed, not measured: a relaxed LiSmTh crystal at the PBE level of DFT.

Lattice parameters (Å, degrees): 3.663 3.663 6.927 105.33 105.33 90.00
Sites, in units of the cell vectors:
Sm: 0.324 0.324 0.647
Th: 0.009 0.009 0.018
Li: 0.667 0.667 0.335

Run x
Computed, not measured: a relaxed LiSmTh crystal at the PBE level of DFT.

Lattice parameters (Å, degrees): 6.467 4.929 8.639 75.78 68.02 49.00
Sites, in units of the cell vectors:
Sm: 0.396 0.000 0.208
Sm: 0.604 0.000 0.792
Th: 0.750 0.500 0.500
Th: 0.250 0.500 0.500
Li: 0.161 0.678 0.000
Li: 0.839 0.322 0.000

Run y
Computed, not measured: a relaxed LiSmTh crystal at the PBE level of DFT.

Lattice parameters (Å, degrees): 3.624 3.624 13.066 90.00 90.00 90.00
Sites, in units of the cell vectors:
Sm: 0.500 0.000 0.780
Sm: 0.000 0.500 0.220
Th: 0.500 0.000 0.409
Th: 0.000 0.500 0.591
Li: 0.500 0.000 0.051
Li: 0.000 0.500 0.949

Least stable = run x